Record 1
GGA-PBE Cd3AsCl3, optimized geometry; E_tot = -2.58 eV per atom; V = 27.3 Å³ per atom
1.0
-2.628 -5.999 4.245
2.340 -1.154 -7.356
6.737 -1.291 2.346
Cd Cl As
6 6 2
Cartesian
4.539 -1.222 -2.505 Cd
0.000 0.000 0.000 Cd
2.055 -3.645 3.295 Cd
7.352 -4.047 -1.167 Cd
3.225 -4.222 -0.382 Cd
-0.903 -4.397 0.402 Cd
5.744 -2.430 0.124 Cl
-0.457 -5.443 2.763 Cl
5.602 -5.980 -1.422 Cl
0.705 -6.013 -0.889 Cl
0.847 -2.464 0.657 Cl
6.906 -3.001 -3.528 Cl
3.464 -5.234 1.923 As
2.985 -3.210 -2.688 As



Record 2
GGA-PBE CdCoAs2, optimized geometry; E_tot = -3.79 eV per atom; V = 17.5 Å³ per atom; magnetic moment = 0.2590 μB per atom
1.0
0.000 3.270 3.270
3.270 0.000 3.270
3.270 3.270 0.000
As Co Cd
2 1 1
Cartesian
1.635 1.635 1.635 As
0.000 0.000 0.000 As
4.905 4.905 4.905 Co
3.270 3.270 3.270 Cd



Record 3
GGA-PBE CdCoAs, optimized geometry; energy above the most stable polymorph in this dataset = 0.0000 eV/atom; E_tot = -4.09 eV per atom; V = 17.5 Å³ per atom; magnetic moment = 0.2421 μB per atom
1.0
0.000 2.971 2.971
2.971 0.000 2.971
2.971 2.971 0.000
Co As Cd
1 1 1
Cartesian
0.000 0.000 0.000 Co
1.485 1.485 1.485 As
4.456 4.456 4.456 Cd



Record 4
GGA-PBE CdCoCuAs, optimized geometry; energy above the most stable polymorph in this dataset = 0.0000 eV/atom; E_tot = -3.83 eV per atom; V = 14.8 Å³ per atom; magnetic moment = 0.0133 μB per atom
1.0
0.000 3.092 3.092
3.092 0.000 3.092
3.092 3.092 0.000
As Cu Co Cd
1 1 1 1
Cartesian
0.000 0.000 0.000 As
1.546 1.546 1.546 Cu
4.638 4.638 4.638 Co
3.092 3.092 3.092 Cd



Record 5
GGA-PBE Cd2CoGeAs4, optimized geometry; E_tot = -4.00 eV per atom; V = 24.7 Å³ per atom; magnetic moment = 0.0099 μB per atom
1.0
-1.432 -5.647 3.961
-6.788 0.403 1.842
3.052 0.485 -6.331
Cd Co As Ge
2 1 4 1
Cartesian
-4.110 -2.622 2.902 Cd
-1.245 -3.892 0.266 Cd
0.000 0.000 0.000 Co
1.457 -3.176 -3.409 As
-4.696 -0.352 1.519 As
-1.500 -1.452 -0.833 As
-5.597 -4.538 1.668 As
-3.923 -0.867 -0.794 Ge



Record 6
GGA-PBE CdCoHgAs, optimized geometry; energy above the most stable polymorph in this dataset = 0.0000 eV/atom; E_tot = -2.79 eV per atom; V = 18.6 Å³ per atom; magnetic moment = 0.4475 μB per atom
1.0
0.000 3.336 3.336
3.336 0.000 3.336
3.336 3.336 0.000
Hg Cd Co As
1 1 1 1
Cartesian
3.336 3.336 3.336 Hg
1.668 1.668 1.668 Cd
5.004 5.004 5.004 Co
0.000 0.000 0.000 As



Record 7
GGA-PBE LiCdCoAs, optimized geometry; energy above the most stable polymorph in this dataset = 0.2083 eV/atom; E_tot = -3.49 eV per atom; V = 15.2 Å³ per atom; magnetic moment = 0.0132 μB per atom
1.0
0.000 3.124 3.124
3.124 0.000 3.124
3.124 3.124 0.000
Li As Co Cd
1 1 1 1
Cartesian
3.124 3.124 3.124 Li
0.000 0.000 0.000 As
4.686 4.686 4.686 Co
1.562 1.562 1.562 Cd



Record 8
GGA-PBE LiCdCoAs, optimized geometry; energy above the most stable polymorph in this dataset = 0.0000 eV/atom; E_tot = -3.70 eV per atom; V = 14.5 Å³ per atom; magnetic moment = 0.0012 μB per atom
1.0
0.000 3.074 3.074
3.074 0.000 3.074
3.074 3.074 0.000
As Cd Co Li
1 1 1 1
Cartesian
0.000 0.000 0.000 As
3.074 3.074 3.074 Cd
4.612 4.612 4.612 Co
1.537 1.537 1.537 Li



Please write out number 1 again, unchanged.
GGA-PBE Cd3AsCl3, optimized geometry; E_tot = -2.58 eV per atom; V = 27.3 Å³ per atom
1.0
-2.628 -5.999 4.245
2.340 -1.154 -7.356
6.737 -1.291 2.346
Cd Cl As
6 6 2
Cartesian
4.539 -1.222 -2.505 Cd
0.000 0.000 0.000 Cd
2.055 -3.645 3.295 Cd
7.352 -4.047 -1.167 Cd
3.225 -4.222 -0.382 Cd
-0.903 -4.397 0.402 Cd
5.744 -2.430 0.124 Cl
-0.457 -5.443 2.763 Cl
5.602 -5.980 -1.422 Cl
0.705 -6.013 -0.889 Cl
0.847 -2.464 0.657 Cl
6.906 -3.001 -3.528 Cl
3.464 -5.234 1.923 As
2.985 -3.210 -2.688 As